Record 1
This record from the Alexandria database describes CaLaTe2 after structural relaxation. The functional is GGA-PBE.

Unit cell a=5.555 b=5.555 c=5.555 alpha=60.00 beta=60.00 gamma=60.00
Atoms (fractional coordinates):
Ca1 0.000 0.000 0.000
La1 0.500 0.500 0.500
Te1 0.250 0.250 0.250
Te2 0.750 0.750 0.750

## Properties
Symmetry: Fm-3m (225)
Energy relative to the elements, uncorrected (eV per atom): -1.35
Raw total energy (eV per atom): -4.656

Record 2
This record from the Alexandria database describes TiNiGeRh2 after structural relaxation. The functional is GGA-PBE.

Unit cell a=4.559 b=4.559 c=4.192 alpha=90.00 beta=90.00 gamma=90.00
Atoms (fractional coordinates):
Ti1 0.000 0.000 0.000
Ni1 0.000 0.000 0.500
Ge1 0.500 0.500 0.000
Rh1 0.000 0.500 0.500
Rh2 0.500 0.000 0.500

## Properties
Symmetry: P4/mmm (123)
ΔH_f (0 K) (kcal/mol of atoms): 13.019
Raw total energy (eV per atom): -6.035